# meta-GGA SCAN LiTc2Ag, PBEsol geometry
# - distance to the lowest polymorph of the same formula (meV per atom) = 77
# - Fermi-level density of states (states/eV per atom) = 0.477
# - DFT formation energy (eV per atom) = 0.344
# - size of the total moment (μB/cell) = 0.00
data_LiTc2Ag
_chemical_formula_sum 'Li2 Tc4 Ag2'
_symmetry_space_group_name_H-M 'C m m m'
_symmetry_Int_Tables_number 65
_symmetry_space_group_name_Hall '-C 2 2'
_cell_length_a 4.8906
_cell_length_b 9.0468
_cell_length_c 2.5738
_cell_angle_alpha 90.00
_cell_angle_beta 90.00
_cell_angle_gamma 90.00
loop_
_atom_site_label
_atom_site_type_symbol
_atom_site_fract_x
_atom_site_fract_y
_atom_site_fract_z
Li1 Li 0.0000 0.0000 0.0000
Tc1 Tc 0.2500 0.2500 0.5000
Ag1 Ag 0.0000 0.5000 0.0000

***

# meta-GGA SCAN LiTc2Ag, PBEsol geometry
# - distance to the lowest polymorph of the same formula (meV per atom) = 275
# - Fermi-level density of states (states/eV per atom) = 0.491
# - DFT formation energy (eV per atom) = 0.542
# - size of the total moment (μB/cell) = 0.00
data_LiTc2Ag
_chemical_formula_sum 'Li1 Tc2 Ag1'
_symmetry_space_group_name_H-M 'P 4/m m m'
_symmetry_Int_Tables_number 123
_symmetry_space_group_name_Hall '-P 4 2'
_cell_length_a 3.2885
_cell_length_b 3.2885
_cell_length_c 5.2187
_cell_angle_alpha 90.00
_cell_angle_beta 90.00
_cell_angle_gamma 90.00
loop_
_atom_site_label
_atom_site_type_symbol
_atom_site_fract_x
_atom_site_fract_y
_atom_site_fract_z
Li1 Li 0.0000 0.0000 0.0000
Tc1 Tc 0.5000 0.5000 0.2060
Ag1 Ag 0.0000 0.0000 0.5000

***

Question: Which value of size of the total moment does entry 2 give?
Answer: 0.00 μB/cell